(1)
## Ga2ReCl (PBE-GGA)

Data for a relaxed structure of Ga2ReCl.

For the calculated total energy, the calculation gives -4.263 eV per atom.

The structure belongs to space group Fm-3m (No. 225); the cell edges are 6.628, 6.628 and 6.628 Å and the angles 90.00°, 90.00° and 90.00°. The distinct sites, in fractional coordinates, are Ga at (0.250, 0.250, 0.250), Re at (0.000, 0.000, 0.000) and Cl at (0.000, 0.000, 0.500).

(2)
## Ga3ReCl (PBE-GGA)

Data for a relaxed structure of Ga3ReCl.

For the calculated total energy, the calculation gives -3.389 eV per atom.

The structure belongs to space group Pm-3m (No. 221); the cell edges are 4.835, 4.835 and 4.835 Å and the angles 90.00°, 90.00° and 90.00°. The distinct sites, in fractional coordinates, are Ga at (0.000, 0.000, 0.500), Re at (0.500, 0.500, 0.500) and Cl at (0.000, 0.000, 0.000).

(3)
## GaReRuCl2 (PBE-GGA)

Data for a relaxed structure of GaReRuCl2.

For the calculated total energy, the calculation gives -4.453 eV per atom.

The structure belongs to space group P4/mmm (No. 123); the cell edges are 4.715, 4.715 and 5.078 Å and the angles 90.00°, 90.00° and 90.00°. The distinct sites, in fractional coordinates, are Ga at (0.000, 0.000, 0.000), Re at (0.500, 0.500, 0.000), Ru at (0.000, 0.000, 0.500) and Cl at (0.000, 0.500, 0.500).

(4)
## GaReS2Cl (PBE-GGA)

Data for a relaxed structure of GaReS2Cl.

For the calculated total energy, the calculation gives -5.124 eV per atom.

The structure belongs to space group P4/mmm (No. 123); the cell edges are 4.577, 4.577 and 5.224 Å and the angles 90.00°, 90.00° and 90.00°. The distinct sites, in fractional coordinates, are Ga at (0.000, 0.000, 0.000), Re at (0.500, 0.500, 0.500), S at (0.000, 0.500, 0.500) and Cl at (0.500, 0.500, 0.000).

(5)
## Ga2ReSCl (PBE-GGA)

Data for a relaxed structure of Ga2ReSCl.

For the calculated total energy, the calculation gives -4.230 eV per atom.

The structure belongs to space group P4/mmm (No. 123); the cell edges are 5.666, 5.666 and 4.353 Å and the angles 90.00°, 90.00° and 90.00°. The distinct sites, in fractional coordinates, are Ga at (0.000, 0.500, 0.000), Re at (0.000, 0.000, 0.500), S at (0.000, 0.000, 0.000) and Cl at (0.500, 0.500, 0.500).

(6)
## GaReS2Cl (PBE-GGA)

Data for a relaxed structure of GaReS2Cl.

For the calculated total energy, the calculation gives -4.169 eV per atom.

The structure belongs to space group P4/mmm (No. 123); the cell edges are 4.776, 4.776 and 4.612 Å and the angles 90.00°, 90.00° and 90.00°. The distinct sites, in fractional coordinates, are Ga at (0.000, 0.000, 0.000), Re at (0.500, 0.500, 0.500), S at (0.000, 0.500, 0.000) and Cl at (0.000, 0.000, 0.500).

(7)
## GaReSbCl2 (PBE-GGA)

Data for a relaxed structure of GaReSbCl2.

For the calculated total energy, the calculation gives -4.343 eV per atom.

The structure belongs to space group P4/mmm (No. 123); the cell edges are 4.789, 4.789 and 5.479 Å and the angles 90.00°, 90.00° and 90.00°. The distinct sites, in fractional coordinates, are Ga at (0.000, 0.000, 0.000), Re at (0.500, 0.500, 0.500), Sb at (0.500, 0.500, 0.000) and Cl at (0.000, 0.500, 0.500).

(8)
## TiGaRe2Cl (PBE-GGA)

Data for a relaxed structure of TiGaRe2Cl.

For the calculated total energy, the calculation gives -6.052 eV per atom.

The structure belongs to space group P4/mmm (No. 123); the cell edges are 4.775, 4.775 and 4.528 Å and the angles 90.00°, 90.00° and 90.00°. The distinct sites, in fractional coordinates, are Ti at (0.000, 0.000, 0.000), Ga at (0.500, 0.500, 0.500), Re at (0.000, 0.500, 0.000) and Cl at (0.000, 0.000, 0.500).